A relaxed structure of CaBeRu3. Source: the Alexandria database, functional GGA-PBE.

Values from the calculation:
**Polymorph energy (0 for the lowest one)**: 2084.5 meV/atom
**Total moment**: 4.8 μB per formula unit
**Space group**: Pm-3m
**E_form**: 2.51 eV/atom

Cell and atoms, written as CIF:
```
data_CaBeRu3
_symmetry_space_group_name_H-M 'P 1'
_symmetry_Int_Tables_number 1
_cell_length_a 4.683
_cell_length_b 4.683
_cell_length_c 4.683
_cell_angle_alpha 90.00
_cell_angle_beta 90.00
_cell_angle_gamma 90.00
loop_
_symmetry_equiv_pos_as_xyz
'x,y,z'
loop_
_atom_site_label
_atom_site_fract_x
_atom_site_fract_y
_atom_site_fract_z
_atom_site_occupancy
Ca1 0.000 0.000 0.000 1
Be1 0.500 0.500 0.500 1
Ru1 0.000 0.000 0.500 1
Ru2 0.000 0.500 0.000 1
Ru3 0.500 0.000 0.000 1
```